The following is a PBE calculation of TlFeSb2 after structural relaxation, from the Alexandria database.

a = 4.791 Å, b = 4.791 Å, c = 8.361 Å
α = 90.00°, β = 90.00°, γ = 90.00°
Space group I4/mmm (No. 139)
Inequivalent atoms, fractional coordinates:
Tl: 0.000 0.000 0.000 (multiplicity 2)
Fe: 0.000 0.000 0.500 (multiplicity 2)
Sb: 0.000 0.500 0.250 (multiplicity 4)

Results
E_form (uncorrected) in kJ per mole of atoms: 53.7
D(E_F) in states/eV/atom: 1.422
Size of the total moment in μB/atom: 0.678


The following is a PBE calculation of TlFe2Sb after structural relaxation, from the Alexandria database.

a = 6.348 Å, b = 6.348 Å, c = 6.348 Å
α = 90.00°, β = 90.00°, γ = 90.00°
Space group Fm-3m (No. 225)
Inequivalent atoms, fractional coordinates:
Tl: 0.000 0.000 0.000 (multiplicity 4)
Fe: 0.250 0.250 0.250 (multiplicity 8)
Sb: 0.000 0.000 0.500 (multiplicity 4)

Results
E_form (uncorrected) in kJ per mole of atoms: 63.1
D(E_F) in states/eV/atom: 0.102
Size of the total moment in μB/atom: 0.000


The following is a PBE calculation of Tl4FeSb after structural relaxation, from the Alexandria database.

a = 8.953 Å, b = 8.953 Å, c = 8.953 Å
α = 90.00°, β = 90.00°, γ = 90.00°
Space group F-43m (No. 216)
Inequivalent atoms, fractional coordinates:
Tl: 0.125 0.125 0.125 (multiplicity 16)
Fe: 0.250 0.250 0.750 (multiplicity 4)
Sb: 0.000 0.000 0.500 (multiplicity 4)

Results
E_form (uncorrected) in kJ per mole of atoms: 64.6
D(E_F) in states/eV/atom: 0.990
Size of the total moment in μB/atom: 0.517


The following is a PBE calculation of TlFeSb2 after structural relaxation, from the Alexandria database.

a = 3.213 Å, b = 3.216 Å, c = 9.116 Å
α = 90.00°, β = 90.62°, γ = 90.00°
Space group P2/m (No. 10)
Inequivalent atoms, fractional coordinates:
Tl: 0.000 0.000 0.000 (multiplicity 1)
Fe: 0.000 0.000 0.500 (multiplicity 1)
Sb: 0.496 0.500 0.327 (multiplicity 2)

Results
E_form (uncorrected) in kJ per mole of atoms: 11.3
D(E_F) in states/eV/atom: 0.843
Size of the total moment in μB/atom: 0.352


The following is a PBE calculation of TlFeSb2 after structural relaxation, from the Alexandria database.

a = 6.135 Å, b = 8.335 Å, c = 3.917 Å
α = 90.00°, β = 101.40°, γ = 90.00°
Space group C2/m (No. 12)
Inequivalent atoms, fractional coordinates:
Tl: 0.000 0.000 0.000 (multiplicity 2)
Fe: 0.000 0.500 0.000 (multiplicity 2)
Sb: 0.250 0.250 0.500 (multiplicity 4)

Results
E_form (uncorrected) in kJ per mole of atoms: 53.0
D(E_F) in states/eV/atom: 1.160
Size of the total moment in μB/atom: 0.736


The following is a PBE calculation of TlFe2Sb after structural relaxation, from the Alexandria database.

a = 3.025 Å, b = 4.515 Å, c = 11.250 Å
α = 90.00°, β = 90.00°, γ = 90.00°
Space group Imm2 (No. 44)
Inequivalent atoms, fractional coordinates:
Tl: 0.000 0.000 0.000 (multiplicity 2)
Fe: 0.000 0.000 0.487 (multiplicity 2)
Fe: 0.000 0.500 0.162 (multiplicity 2)
Sb: 0.000 0.500 0.773 (multiplicity 2)

Results
E_form (uncorrected) in kJ per mole of atoms: 41.5
D(E_F) in states/eV/atom: 0.905
Size of the total moment in μB/atom: 1.223